1.
# SnP2Au, optimized geometry, DFT GGA-PBE
data_SnP2Au
_chemical_formula_sum 'Sn4 P8 Au4'
_space_group_name_H-M_alt 'I -4 2 d'
_space_group_IT_number 122
_space_group_name_Hall 'I -4 2bw'
_cell_length_a 5.787
_cell_length_b 5.787
_cell_length_c 11.530
_cell_angle_alpha 90.00
_cell_angle_beta 90.00
_cell_angle_gamma 90.00
loop_
_atom_site_label
_atom_site_type_symbol
_atom_site_fract_x
_atom_site_fract_y
_atom_site_fract_z
Sn1 Sn 0.000 0.000 0.000
P1 P 0.229 0.250 0.625
Au1 Au 0.000 0.000 0.500
# Total magnetic moment, Bohr magnetons per cell: 0.000
# Energy of formation, meV per atom: 32



2.
# Li2Pm2DyGa2, optimized geometry, DFT GGA-PBE
data_Li2Pm2DyGa2
_chemical_formula_sum 'Li6 Pm6 Dy3 Ga6'
_space_group_name_H-M_alt 'R -3 m'
_space_group_IT_number 166
_space_group_name_Hall '-R 3 2"'
_cell_length_a 4.6258
_cell_length_b 4.6258
_cell_length_c 26.7691
_cell_angle_alpha 90.00
_cell_angle_beta 90.00
_cell_angle_gamma 120.00
loop_
_atom_site_label
_atom_site_type_symbol
_atom_site_fract_x
_atom_site_fract_y
_atom_site_fract_z
Li1 Li 0.0000 0.0000 0.1093
Pm1 Pm 0.0000 0.0000 0.3747
Dy1 Dy 0.0000 0.0000 0.5000
Ga1 Ga 0.0000 0.0000 0.2342
# Total magnetic moment, Bohr magnetons per cell: 0.006
# Energy of formation, meV per atom: -284



Copy entry 2 word for word.
# Li2Pm2DyGa2, optimized geometry, DFT GGA-PBE
data_Li2Pm2DyGa2
_chemical_formula_sum 'Li6 Pm6 Dy3 Ga6'
_space_group_name_H-M_alt 'R -3 m'
_space_group_IT_number 166
_space_group_name_Hall '-R 3 2"'
_cell_length_a 4.6258
_cell_length_b 4.6258
_cell_length_c 26.7691
_cell_angle_alpha 90.00
_cell_angle_beta 90.00
_cell_angle_gamma 120.00
loop_
_atom_site_label
_atom_site_type_symbol
_atom_site_fract_x
_atom_site_fract_y
_atom_site_fract_z
Li1 Li 0.0000 0.0000 0.1093
Pm1 Pm 0.0000 0.0000 0.3747
Dy1 Dy 0.0000 0.0000 0.5000
Ga1 Ga 0.0000 0.0000 0.2342
# Total magnetic moment, Bohr magnetons per cell: 0.006
# Energy of formation, meV per atom: -284



Repeat the second record exactly.
# Li2Pm2DyGa2, optimized geometry, DFT GGA-PBE
data_Li2Pm2DyGa2
_chemical_formula_sum 'Li6 Pm6 Dy3 Ga6'
_space_group_name_H-M_alt 'R -3 m'
_space_group_IT_number 166
_space_group_name_Hall '-R 3 2"'
_cell_length_a 4.6258
_cell_length_b 4.6258
_cell_length_c 26.7691
_cell_angle_alpha 90.00
_cell_angle_beta 90.00
_cell_angle_gamma 120.00
loop_
_atom_site_label
_atom_site_type_symbol
_atom_site_fract_x
_atom_site_fract_y
_atom_site_fract_z
Li1 Li 0.0000 0.0000 0.1093
Pm1 Pm 0.0000 0.0000 0.3747
Dy1 Dy 0.0000 0.0000 0.5000
Ga1 Ga 0.0000 0.0000 0.2342
# Total magnetic moment, Bohr magnetons per cell: 0.006
# Energy of formation, meV per atom: -284



> Number 2 is which compound?

Li2Pm2DyGa2